Entry 1:
Crystalline Zr2SeS3 at its relaxed geometry, computed with GGA-PBE.

Structure (CIF):
```
data_Zr2SeS3
_space_group_name_H-M_alt 'C 1 2/m 1'
_space_group_IT_number 12
_space_group_name_Hall '-C 2y'
_cell_length_a 17.261
_cell_length_b 3.720
_cell_length_c 12.875
_cell_angle_alpha 90.00
_cell_angle_beta 127.34
_cell_angle_gamma 90.00
loop_
_atom_site_label
_atom_site_type_symbol
_atom_site_fract_x
_atom_site_fract_y
_atom_site_fract_z
Zr1 Zr 0.249 0.000 0.124
Zr2 Zr 0.250 0.000 0.623
Se1 Se 0.129 0.000 0.693
S1 S 0.144 0.500 0.455
S2 S 0.146 0.000 0.207
S3 S 0.146 0.500 0.959
```

Calculated values
As for the energy: -6.97 eV per atom.

Entry 2:
Crystalline ZnFe4 at its relaxed geometry, computed with GGA-PBE.

Structure (CIF):
```
data_ZnFe4
_space_group_name_H-M_alt 'I m -3 m'
_space_group_IT_number 229
_space_group_name_Hall '-I 4 2 3'
_cell_length_a 5.382
_cell_length_b 5.382
_cell_length_c 5.382
_cell_angle_alpha 90.00
_cell_angle_beta 90.00
_cell_angle_gamma 90.00
loop_
_atom_site_label
_atom_site_type_symbol
_atom_site_fract_x
_atom_site_fract_y
_atom_site_fract_z
Zn1 Zn 0.000 0.000 0.000
Fe1 Fe 0.250 0.250 0.250
```

Calculated values
The density of states at the Fermi level is 8.861 states/eV/cell. The energy above the most stable polymorph in this dataset comes out at 4.263 eV per formula unit. As for the energy of formation from the pure elements: 4.678 eV/f.u.

Entry 3:
Crystalline La2Ag7 at its relaxed geometry, computed with GGA-PBE.

Structure (CIF):
```
data_La2Ag7
_space_group_name_H-M_alt 'R -3 m'
_space_group_IT_number 166
_space_group_name_Hall '-R 3 2"'
_cell_length_a 5.7150
_cell_length_b 5.7150
_cell_length_c 42.7446
_cell_angle_alpha 90.00
_cell_angle_beta 90.00
_cell_angle_gamma 120.00
loop_
_atom_site_label
_atom_site_type_symbol
_atom_site_fract_x
_atom_site_fract_y
_atom_site_fract_z
La1 La 0.0000 0.0000 0.0519
La2 La 0.0000 0.0000 0.1512
Ag1 Ag 0.0000 0.0000 0.2779
Ag2 Ag 0.0000 0.0000 0.3886
Ag3 Ag 0.0000 0.0000 0.5000
Ag4 Ag 0.0000 0.5000 0.0000
Ag5 Ag 0.0016 0.5008 0.8893
```

Calculated values
The density of states at the Fermi level is 44.893 states/eV/cell. As for the energy of formation from the pure elements: -1.447 eV/f.u.

Entry 4:
Crystalline BaMg2Ni at its relaxed geometry, computed with GGA-PBE.

Structure (CIF):
```
data_BaMg2Ni
_space_group_name_H-M_alt 'I 41/a m d'
_space_group_IT_number 141
_cell_length_a 5.728
_cell_length_b 5.728
_cell_length_c 16.157
_cell_angle_alpha 90.00
_cell_angle_beta 90.00
_cell_angle_gamma 90.00
loop_
_space_group_symop_operation_xyz
'x,y,z'
'-x,-y,-z'
'-y+1/4,x+3/4,z+1/4'
'y+1/4,-x+3/4,-z+1/4'
'-x+1/2,-y,z+1/2'
'x+1/2,y,-z+1/2'
'y+1/4,-x+1/4,z+3/4'
'-y+1/4,x+1/4,-z+3/4'
'x,-y,-z'
'-x,y,z'
'-y+1/4,-x+1/4,-z+3/4'
'y+1/4,x+1/4,z+3/4'
'-x+1/2,y,-z+1/2'
'x+1/2,-y,z+1/2'
'y+1/4,x+3/4,-z+1/4'
'-y+1/4,-x+3/4,z+1/4'
'x+1/2,y+1/2,z+1/2'
'-x+1/2,-y+1/2,-z+1/2'
'-y+3/4,x+1/4,z+3/4'
'y+3/4,-x+1/4,-z+3/4'
'-x,-y+1/2,z'
'x,y+1/2,-z'
'y+3/4,-x+3/4,z+1/4'
'-y+3/4,x+3/4,-z+1/4'
'x+1/2,-y+1/2,-z+1/2'
'-x+1/2,y+1/2,z+1/2'
'-y+3/4,-x+3/4,-z+1/4'
'y+3/4,x+3/4,z+1/4'
'-x,y+1/2,-z'
'x,-y+1/2,z'
'y+3/4,x+1/4,-z+3/4'
'-y+3/4,-x+1/4,z+3/4'
loop_
_atom_site_label
_atom_site_type_symbol
_atom_site_fract_x
_atom_site_fract_y
_atom_site_fract_z
Ba1 Ba 0.000 0.250 0.375
Mg1 Mg 0.000 0.000 0.000
Ni1 Ni 0.000 0.250 0.875
```

Calculated values
The density of states at the Fermi level is 10.343 states/eV/cell. As for the energy of formation from the pure elements: 1.001 eV/f.u.

Number 1: total magnetic moment 0.00 μB per cell. Number 2: total magnetic moment 22.03 μB per cell. Number 3: total magnetic moment 0.00 μB per cell. Number 4: total magnetic moment 0.00 μB per cell.